Computed, not measured: a relaxed structure of HgAsPt2 at the PBE-GGA level of DFT.

Cell: 5.418 5.418 5.418 Å, 146.86 123.50 67.09°
Atoms (fractional coordinates):
1 Hg 0.000 0.000 0.000
2 As 0.500 0.500 0.000
3 Pt 0.269 0.769 0.500
4 Pt 0.731 0.231 0.500

Results
* symmetry: Immm (71)

Computed, not measured: a relaxed structure of HgAsPt2 at the PBE-GGA level of DFT.

Cell: 3.077 3.306 6.916 Å, 90.00 90.00 90.00°
Atoms (fractional coordinates):
1 Hg 0.000 0.000 0.000
2 As 0.000 0.000 0.500
3 Pt 0.500 0.500 0.281
4 Pt 0.500 0.500 0.719

Results
* symmetry: Pmmm (47)

| no. | energy relative to the elements (kJ/mol of formula units) | final energy (hartree per atom) |
| --- | --- | --- |
| 1 | 53.3 | -0.1514 |
| 2 | -3.5 | -0.1568 |